DFT (PBE-GGA) results for a geometry-optimized HfNbN2O structure.

Cell lengths 4.0742, 4.0742, 3.8527 Å; angles 90.00, 90.00, 90.00 degrees
Last column: nearest neighbours and their distance in Å.
Element x y z (fractional)
Hf1 0.0000 0.0000 0.0000  8 N 2.80, 4 O 2.88
Nb1 0.5000 0.5000 0.5000  2 O 1.93, 4 N 2.04
N1 0.0000 0.5000 0.5000  2 Nb 2.04
N2 0.5000 0.0000 0.5000  2 Nb 2.04
O1 0.5000 0.5000 0.0000  2 Nb 1.93

Properties
Raw total energy   -9.046 eV per atom
Raw formation energy   -3.60 eV/f.u.



DFT (PBE-GGA) results for a geometry-optimized BaZn3Os structure.

Cell lengths 4.9307, 4.9307, 4.9307 Å; angles 90.00, 90.00, 90.00 degrees
Last column: nearest neighbours and their distance in Å.
Element x y z (fractional)
Ba1 0.0000 0.0000 0.0000  12 Zn 3.49
Zn1 0.0000 0.5000 0.5000  2 Os 2.47
Zn2 0.5000 0.0000 0.5000  2 Os 2.47
Zn3 0.5000 0.5000 0.0000  2 Os 2.47
Os1 0.5000 0.5000 0.5000  6 Zn 2.47

Properties
Raw total energy   -3.420 eV per atom
Polymorph energy (0 for the lowest one)   0 meV/atom
Formation enthalpy at 0 K   -2 kJ/mol of atoms



DFT (PBE-GGA) results for a geometry-optimized P3Ir2Au structure.

Cell lengths 4.8413, 4.8413, 7.0295 Å; angles 111.74, 111.74, 42.99 degrees
Last column: nearest neighbours and their distance in Å.
Element x y z (fractional)
P1 0.0000 0.0000 0.0000  3 Ir 2.26-2.41, 1 Au 2.38
P2 0.5610 0.5610 0.4764  1 P 2.23, 3 Ir 2.29-2.39
P3 0.8240 0.8240 0.5386  1 P 2.23, 3 Ir 2.38-2.39
Ir1 0.4739 0.4739 0.7566  5 P 2.38-2.41
Ir2 0.9289 0.9289 0.2746  4 P 2.26-2.39
Au1 0.2437 0.2437 0.9430  1 P 2.38

Properties
Raw total energy   -6.429 eV per atom
Polymorph energy (0 for the lowest one)   40 meV/atom
Formation enthalpy at 0 K   -22 kJ/mol of atoms



DFT (PBE-GGA) results for a geometry-optimized La5TbPm2Ho structure.

Cell lengths 10.4183, 10.4183, 10.4183 Å; angles 130.18, 130.18, 73.12 degrees
Last column: nearest neighbours and their distance in Å.
Element x y z (fractional)
La1 0.0000 0.0000 0.0000  4 Pm 3.49
La2 0.0728 0.5728 0.9322  1 Pm 3.14, 1 Ho 3.22
La3 0.1406 0.0728 0.5000  1 Pm 3.14, 1 Ho 3.22
La4 0.3594 0.8594 0.9322  1 Pm 3.14, 1 Ho 3.22
La5 0.4272 0.3594 0.5000  1 Pm 3.14, 1 Ho 3.22
La6 0.5000 0.5000 0.0000  4 Pm 3.49
La7 0.5728 0.6406 0.5000  1 Pm 3.14, 1 Ho 3.22
La8 0.6406 0.1406 0.0678  1 Pm 3.14, 1 Ho 3.22
La9 0.8594 0.9272 0.5000  1 Pm 3.14, 1 Ho 3.22
La10 0.9272 0.4272 0.0678  1 Pm 3.14, 1 Ho 3.22
Tb1 0.2500 0.2500 0.0000  8 La 3.60
Tb2 0.7500 0.7500 0.0000  8 La 3.60
Pm1 0.1205 0.3795 0.5000  1 Pm 2.99, 2 La 3.14
Pm2 0.3795 0.8795 0.2590  1 Pm 2.99, 2 La 3.14
Pm3 0.6205 0.1205 0.7410  1 Pm 2.99, 2 La 3.14
Pm4 0.8795 0.6205 0.5000  1 Pm 2.99, 2 La 3.14
Ho1 0.2500 0.7500 0.5000  4 La 3.22
Ho2 0.7500 0.2500 0.5000  4 La 3.22

Properties
Raw total energy   -4.542 eV per atom
Formation enthalpy at 0 K   26 kJ/mol of atoms



DFT (PBE-GGA) results for a geometry-optimized ScMn2Cr structure.

Cell lengths 4.2360, 4.2360, 4.2360 Å; angles 60.00, 60.00, 60.00 degrees
Last column: nearest neighbours and their distance in Å.
Element x y z (fractional)
Sc1 0.0000 0.0000 0.0000  8 Mn 2.59
Mn1 0.2500 0.2500 0.2500  4 Cr 2.59, 4 Sc 2.59
Mn2 0.7500 0.7500 0.7500  4 Cr 2.59, 4 Sc 2.59
Cr1 0.5000 0.5000 0.5000  8 Mn 2.59

Properties
Raw total energy   -8.466 eV per atom
Polymorph energy (0 for the lowest one)   48 meV/atom
Formation enthalpy at 0 K   10 kJ/mol of atoms



DFT (PBE-GGA) results for a geometry-optimized Ac3Sm3Co4 structure.

Cell lengths 4.3985, 7.6296, 7.6296 Å; angles 90.05, 90.00, 90.00 degrees
Last column: nearest neighbours and their distance in Å.
Element x y z (fractional)
Ac1 0.0000 0.0000 0.0000  6 Co 3.11-3.38
Ac2 0.5000 0.3469 0.8303  4 Co 2.95-3.29
Ac3 0.5000 0.8303 0.3469  4 Co 2.95-3.29
Sm1 0.0000 0.1736 0.4989  6 Co 3.01-3.34
Sm2 0.0000 0.4989 0.1736  6 Co 3.01-3.34
Sm3 0.0000 0.6682 0.6682  6 Co 3.00-3.26
Co1 0.5000 0.2380 0.2380  1 Co 2.23
Co2 0.5000 0.4450 0.4450  1 Co 2.23
Co3 0.5000 0.7206 0.9302  1 Co 2.26
Co4 0.5000 0.9302 0.7206  1 Co 2.26

Properties
Raw total energy   -5.432 eV per atom
Formation enthalpy at 0 K   6 kJ/mol of atoms



DFT (PBE-GGA) results for a geometry-optimized La2Tb7Pm3 structure.

Cell lengths 5.9024, 3.6149, 19.0742 Å; angles 90.00, 93.17, 90.00 degrees
Last column: nearest neighbours and their distance in Å.
Element x y z (fractional)
La1 0.2088 0.0000 0.2933  3 Tb 3.22-3.41
La2 0.7912 0.0000 0.7067  3 Tb 3.22-3.41
Tb1 0.1869 0.5000 0.1413  7 Tb 3.35-3.61, 2 Pm 3.38, 2 La 3.41
Tb2 0.2428 0.0000 0.4624  1 La 3.22, 2 Tb 3.27-3.28
Tb3 0.3118 0.0000 0.8291  8 Tb 3.49-3.84, 2 La 3.75-3.77, 1 Pm 3.83
Tb4 0.5000 0.5000 0.0000  4 Tb 3.35-3.61, 4 Pm 3.46
Tb5 0.6882 0.0000 0.1709  8 Tb 3.49-3.84, 2 La 3.75-3.77, 1 Pm 3.83
Tb6 0.7572 0.0000 0.5376  1 La 3.22, 2 Tb 3.27-3.28
Tb7 0.8131 0.5000 0.8587  7 Tb 3.35-3.61, 2 Pm 3.38, 2 La 3.41
Pm1 0.0000 0.0000 0.0000  8 Tb 3.38-3.46, 2 Pm 3.61
Pm2 0.2783 0.5000 0.6299  2 Pm 3.61, 6 Tb 3.67-3.90, 4 La 3.75-3.76
Pm3 0.7217 0.5000 0.3701  2 Pm 3.61, 6 Tb 3.67-3.90, 4 La 3.75-3.76

Properties
Raw total energy   -4.622 eV per atom
Polymorph energy (0 for the lowest one)   6 meV/atom
Formation enthalpy at 0 K   8 kJ/mol of atoms



DFT (PBE-GGA) results for a geometry-optimized MnNiH structure.

Cell lengths 8.4527, 8.4527, 8.4527 Å; angles 17.39, 17.39, 17.39 degrees
Last column: nearest neighbours and their distance in Å.
Element x y z (fractional)
Mn1 0.0000 0.0000 0.0000  3 H 1.85
Mn2 0.2588 0.2588 0.2588  9 Mn 2.37-2.56, 3 Ni 2.50
Ni1 0.4225 0.4225 0.4225  6 H 1.83-1.85
Ni2 0.8449 0.8449 0.8449  3 H 1.86
H1 0.1328 0.1328 0.1328  6 Ni 1.83-1.86
H2 0.7113 0.7113 0.7113  3 Mn 1.85, 3 Ni 1.85

Properties
Raw total energy   -6.121 eV per atom



DFT (PBE-GGA) results for a geometry-optimized Ac2Pr5Ho6 structure.

Cell lengths 12.0262, 20.8072, 3.6811 Å; angles 90.00, 90.00, 90.00 degrees
Last column: nearest neighbours and their distance in Å.
Element x y z (fractional)
Ac1 0.1682 0.2244 0.0000  4 Ho 3.62-4.01, 6 Pr 3.63-4.01, 2 Ac 3.68
Ac2 0.3318 0.7244 0.0000  4 Ho 3.62-4.01, 6 Pr 3.63-4.01, 2 Ac 3.68
Ac3 0.6682 0.2756 0.0000  4 Ho 3.62-4.01, 6 Pr 3.63-4.01, 2 Ac 3.68
Ac4 0.8318 0.7756 0.0000  4 Ho 3.62-4.01, 6 Pr 3.63-4.01, 2 Ac 3.68
Pr1 0.0000 0.5000 0.5000  6 Ho 3.34-3.54, 2 Pr 3.68
Pr2 0.0909 0.7862 0.5000  5 Ho 3.33-3.57, 4 Ac 3.63-3.66, 2 Pr 3.68
Pr3 0.2015 0.0545 0.5000  7 Ho 3.63-3.88, 3 Pr 3.68-3.76, 2 Ac 4.01
Pr4 0.2985 0.5545 0.5000  7 Ho 3.63-3.88, 3 Pr 3.68-3.76, 2 Ac 4.01
Pr5 0.4091 0.2862 0.5000  5 Ho 3.33-3.57, 4 Ac 3.63-3.66, 2 Pr 3.68
Pr6 0.5000 0.0000 0.5000  6 Ho 3.34-3.54, 2 Pr 3.68
Pr7 0.5909 0.7138 0.5000  5 Ho 3.33-3.57, 4 Ac 3.63-3.66, 2 Pr 3.68
Pr8 0.7015 0.4455 0.5000  7 Ho 3.63-3.88, 3 Pr 3.68-3.76, 2 Ac 4.01
Pr9 0.7985 0.9455 0.5000  7 Ho 3.63-3.88, 3 Pr 3.68-3.76, 2 Ac 4.01
Pr10 0.9091 0.2138 0.5000  5 Ho 3.33-3.57, 4 Ac 3.63-3.66, 2 Pr 3.68
Ho1 0.0628 0.9273 0.0000  5 Ho 3.38-3.68, 6 Pr 3.48-3.69
Ho2 0.0686 0.6397 0.0000  6 Pr 3.54-3.76, 4 Ho 3.58-3.68, 1 Ac 3.62
Ho3 0.1849 0.3801 0.5000  2 Pr 3.33-3.34, 6 Ho 3.58-3.68
Ho4 0.3151 0.8801 0.5000  2 Pr 3.33-3.34, 6 Ho 3.58-3.68
Ho5 0.4314 0.1397 0.0000  6 Pr 3.54-3.76, 4 Ho 3.58-3.68, 1 Ac 3.62
Ho6 0.4372 0.4273 0.0000  5 Ho 3.38-3.68, 6 Pr 3.48-3.69
Ho7 0.5628 0.5727 0.0000  5 Ho 3.38-3.68, 6 Pr 3.48-3.69
Ho8 0.5686 0.8603 0.0000  6 Pr 3.54-3.76, 4 Ho 3.58-3.68, 1 Ac 3.62
Ho9 0.6849 0.1199 0.5000  2 Pr 3.33-3.34, 6 Ho 3.58-3.68
Ho10 0.8151 0.6199 0.5000  2 Pr 3.33-3.34, 6 Ho 3.58-3.68
Ho11 0.9314 0.3603 0.0000  6 Pr 3.54-3.76, 4 Ho 3.58-3.68, 1 Ac 3.62
Ho12 0.9372 0.0727 0.0000  5 Ho 3.38-3.68, 6 Pr 3.48-3.69

Properties
Raw total energy   -4.477 eV per atom
Formation enthalpy at 0 K   10 kJ/mol of atoms



DFT (PBE-GGA) results for a geometry-optimized Ho6Er3TmSc2 structure.

Cell lengths 6.0221, 6.0221, 11.4845 Å; angles 95.01, 95.01, 119.94 degrees
Last column: nearest neighbours and their distance in Å.
Element x y z (fractional)
Ho1 0.0828 0.4181 0.7552  2 Sc 3.42, 1 Tm 3.43, 6 Ho 3.47-3.50, 3 Er 3.51-3.52
Ho2 0.2465 0.2465 0.2448  2 Sc 3.42, 1 Tm 3.43, 6 Ho 3.47-3.50, 3 Er 3.51-3.52
Ho3 0.4181 0.0828 0.7552  2 Sc 3.42, 1 Tm 3.43, 6 Ho 3.47-3.50, 3 Er 3.51-3.52
Ho4 0.5819 0.9172 0.2448  2 Sc 3.42, 1 Tm 3.43, 6 Ho 3.47-3.50, 3 Er 3.51-3.52
Ho5 0.7535 0.7535 0.7552  2 Sc 3.42, 1 Tm 3.43, 6 Ho 3.47-3.50, 3 Er 3.51-3.52
Ho6 0.9172 0.5819 0.2448  2 Sc 3.42, 1 Tm 3.43, 6 Ho 3.47-3.50, 3 Er 3.51-3.52
Er1 0.0000 0.0000 0.5000  6 Er 3.47-3.48, 6 Ho 3.51-3.52
Er2 0.3332 0.6668 0.5000  6 Er 3.47-3.48, 6 Ho 3.51-3.52
Er3 0.6668 0.3332 0.5000  6 Er 3.47-3.48, 6 Ho 3.51-3.52
Tm1 0.5000 0.5000 0.0000  6 Ho 3.43, 6 Sc 3.48
Sc1 0.1667 0.8333 0.0000  6 Ho 3.42, 3 Sc 3.48, 3 Tm 3.48
Sc2 0.8333 0.1667 0.0000  6 Ho 3.42, 3 Sc 3.48, 3 Tm 3.48

Properties
Raw total energy   -4.820 eV per atom
Formation enthalpy at 0 K   4 kJ/mol of atoms



DFT (PBE-GGA) results for a geometry-optimized Ru2RhS structure.

Cell lengths 6.6361, 6.6361, 6.6361 Å; angles 133.35, 133.35, 68.10 degrees
Last column: nearest neighbours and their distance in Å.
Element x y z (fractional)
Ru1 0.0895 0.6250 0.9645  2 S 2.21, 2 Rh 2.42
Ru2 0.3750 0.3395 0.4645  2 S 2.21, 2 Rh 2.42
Ru3 0.6605 0.1250 0.0355  2 S 2.21, 2 Rh 2.42
Ru4 0.8750 0.9105 0.5355  2 S 2.21, 2 Rh 2.42
Rh1 0.2500 0.7500 0.5000  4 Ru 2.42
Rh2 0.5000 0.5000 0.0000  4 Ru 2.42
S1 0.0000 0.0000 0.0000  4 Ru 2.21
S2 0.7500 0.2500 0.5000  4 Ru 2.21

Properties
Raw total energy   -6.978 eV per atom
Raw formation energy   2.12 eV/f.u.



> The highest raw total energy belongs to which entry?

BaZn3Os



> What is the raw total energy in the eighth record?

-6.121 eV per atom